Compound: LiCu
Source: the Alexandria database
Functional: GGA-PBE
Structure: optimized geometry

Cell lengths 8.3582, 4.1872, 5.9059 Å; angles 90.00, 90.00, 90.00 degrees
With the nearest neighbours (Å) after each atom.
Element x y z (fractional)
Li (0.1289, 0.2500, 0.0038)  4 Li 2.48-2.61, 4 Cu 2.50-2.65
Li (0.1312, 0.7500, 0.7515)  4 Li 2.48-2.61, 4 Cu 2.56-2.59
Li (0.3688, 0.2500, 0.2515)  4 Li 2.48-2.61, 4 Cu 2.56-2.59
Li (0.3711, 0.7500, 0.5038)  4 Li 2.48-2.61, 4 Cu 2.50-2.65
Li (0.6289, 0.2500, 0.4962)  4 Li 2.48-2.61, 4 Cu 2.50-2.65
Li (0.6312, 0.7500, 0.7485)  4 Li 2.48-2.61, 4 Cu 2.56-2.59
Li (0.8688, 0.2500, 0.2485)  4 Li 2.48-2.61, 4 Cu 2.56-2.59
Li (0.8711, 0.7500, 0.9962)  4 Li 2.48-2.61, 4 Cu 2.50-2.65
Cu (0.1153, 0.2500, 0.5045)  4 Cu 2.50-2.59, 4 Li 2.56-2.59
Cu (0.1300, 0.7500, 0.2546)  4 Cu 2.50-2.59, 4 Li 2.50-2.65
Cu (0.3700, 0.2500, 0.7546)  4 Cu 2.50-2.59, 4 Li 2.50-2.65
Cu (0.3847, 0.7500, 0.0045)  4 Cu 2.50-2.59, 4 Li 2.56-2.59
Cu (0.6153, 0.2500, 0.9955)  4 Cu 2.50-2.59, 4 Li 2.56-2.59
Cu (0.6300, 0.7500, 0.2454)  4 Cu 2.50-2.59, 4 Li 2.50-2.65
Cu (0.8700, 0.2500, 0.7454)  4 Cu 2.50-2.59, 4 Li 2.50-2.65
Cu (0.8847, 0.7500, 0.4955)  4 Cu 2.50-2.59, 4 Li 2.56-2.59

Summary:
The value obtained for the density of states at the Fermi level is 0.357 states/eV per atom. The theoretical density is 4.5 g/cm³. The value obtained for the total energy is -48.543 eV for the cell shown. The magnetic moment comes out at 0.00 μB per cell.